[1]
VASP calculation (PBE) on an optimized crystal structure of PmSnRh.

Calculated volume: 22.39 Å³ per atom
Formation enthalpy at 0 K: -0.86 eV/atom
Energy above the most stable polymorph in this dataset: 0 meV per atom
Total magnetic moment: 0.00 μB per formula unit
Density: 9.06 g cm⁻³

Cell lengths 7.1829, 4.6533, 8.0403 Å; angles 90.00, 90.00, 90.00 degrees
With the nearest neighbours (Å) after each atom.
Space group Pnma (No. 62)
Unique sites:
Pm1 0.0266 0.2500 0.1866  5 Rh 2.90-3.23
Sn1 0.1608 0.2500 0.5738  4 Rh 2.73-2.81
Rh1 0.2288 0.7500 0.3992  4 Sn 2.73-2.81, 1 Pm 2.90


[2]
VASP calculation (PBE) on an optimized crystal structure of Pm7SnRh2.

Calculated volume: 29.25 Å³ per atom
Formation enthalpy at 0 K: -0.35 eV/atom
Total magnetic moment: 0.00 μB per formula unit
Density: 7.60 g cm⁻³

Cell lengths 5.3022, 5.3022, 12.0145 Å; angles 90.00, 90.00, 120.00 degrees
With the nearest neighbours (Å) after each atom.
Space group P3m1 (No. 156)
Unique sites:
Pm1 0.0000 0.0000 0.0000  4 Pm 3.08-3.09
Pm2 0.0000 0.0000 0.2572  1 Rh 2.68
Pm3 0.0000 0.0000 0.7082  1 Rh 2.74
Pm4 0.3333 0.6667 0.4210  3 Rh 3.14, 1 Sn 3.45, 3 Pm 3.48
Pm5 0.3333 0.6667 0.8470  3 Rh 3.14, 1 Sn 3.44, 3 Pm 3.49
Pm6 0.6667 0.3333 0.0309  1 Rh 2.89, 3 Pm 3.08
Pm7 0.6667 0.3333 0.5587  1 Rh 2.78
Sn1 0.3333 0.6667 0.1336  11 Pm 3.30-3.46
Rh1 0.0000 0.0000 0.4803  2 Pm 2.68-2.74
Rh2 0.6667 0.3333 0.7904  2 Pm 2.78-2.89


[3]
VASP calculation (PBE) on an optimized crystal structure of PmSn3Rh2.

Calculated volume: 21.94 Å³ per atom
Formation enthalpy at 0 K: -0.58 eV/atom
Energy above the most stable polymorph in this dataset: 0 meV per atom
Total magnetic moment: 0.00 μB per formula unit
Density: 8.92 g cm⁻³

Cell lengths 17.6042, 4.3522, 10.6115 Å; angles 90.00, 103.72, 90.00 degrees
With the nearest neighbours (Å) after each atom.
Space group C2/m (No. 12)
Unique sites:
Pm1 0.0000 0.0000 0.0000  6 Rh 3.30-3.46, 10 Sn 3.45-3.68
Pm2 0.1452 0.0000 0.6865  8 Sn 3.26-3.59, 4 Rh 3.40-3.51
Sn1 0.0000 0.5000 0.5000  4 Rh 2.75-2.83, 4 Sn 2.98
Sn2 0.0518 0.0000 0.3470  4 Rh 2.60-2.75
Sn3 0.1358 0.5000 0.1797  4 Rh 2.71-2.76, 1 Sn 2.85
Sn4 0.1493 0.5000 0.9169  4 Rh 2.60-2.84, 1 Sn 2.85
Sn5 0.2291 0.0000 0.3698  4 Rh 2.64-2.93
Rh1 0.0082 0.5000 0.7697  5 Sn 2.60-2.83
Rh2 0.1436 0.5000 0.4392  7 Sn 2.64-2.84
Rh3 0.2021 0.0000 0.0869  6 Sn 2.63-2.93


[4]
VASP calculation (PBE) on an optimized crystal structure of Pm2SnRh2.

Calculated volume: 22.62 Å³ per atom
Formation enthalpy at 0 K: -0.80 eV/atom
Energy above the most stable polymorph in this dataset: 19 meV per atom
Total magnetic moment: 0.00 μB per formula unit
Density: 9.02 g cm⁻³

Cell lengths 4.4624, 5.9193, 8.5649 Å; angles 90.00, 90.00, 90.00 degrees
With the nearest neighbours (Å) after each atom.
Space group Immm (No. 71)
Unique sites:
Pm1 0.0000 0.0000 0.2055  6 Rh 3.00-3.14
Sn1 0.0000 0.5000 0.0000  4 Rh 2.76
Rh1 0.0000 0.2731 0.5000  1 Rh 2.69, 2 Sn 2.76, 2 Pm 3.00


[5]
VASP calculation (PBE) on an optimized crystal structure of Pm5Sn3Rh3.

Calculated volume: 28.01 Å³ per atom
Formation enthalpy at 0 K: -0.43 eV/atom
Total magnetic moment: 0.00 μB per formula unit
Density: 7.49 g cm⁻³

Cell lengths 9.4799, 9.4799, 3.9587 Å; angles 90.00, 90.00, 120.00 degrees
With the nearest neighbours (Å) after each atom.
Space group P-62m (No. 189)
Unique sites:
Pm1 0.0000 0.2412 0.0000  2 Rh 2.68
Pm2 0.3333 0.6667 0.0000  3 Rh 3.27, 6 Sn 3.38
Sn1 0.0000 0.5072 0.5000  2 Rh 2.62
Rh1 0.0000 0.6889 0.0000  2 Sn 2.62, 2 Pm 2.68


[6]
VASP calculation (PBE) on an optimized crystal structure of Pm2SnRh2.

Calculated volume: 22.64 Å³ per atom
Formation enthalpy at 0 K: -0.82 eV/atom
Energy above the most stable polymorph in this dataset: 0 meV per atom
Total magnetic moment: 0.00 μB per formula unit
Density: 9.01 g cm⁻³

Cell lengths 10.2044, 5.6309, 8.1567 Å; angles 90.00, 104.95, 90.00 degrees
With the nearest neighbours (Å) after each atom.
Space group C2/c (No. 15)
Unique sites:
Pm1 0.1473 0.1571 0.1486  6 Rh 2.95-3.24
Sn1 0.0000 0.3408 0.7500  4 Rh 2.73-2.75
Rh1 0.1372 0.3623 0.5013  1 Rh 2.63, 2 Sn 2.73-2.75


[7]
VASP calculation (PBE) on an optimized crystal structure of Pm3Sn7Rh4.

Calculated volume: 22.44 Å³ per atom
Formation enthalpy at 0 K: -0.68 eV/atom
Total magnetic moment: 0.00 μB per formula unit
Density: 8.87 g cm⁻³

Cell lengths 16.9084, 4.5237, 9.9269 Å; angles 90.00, 124.17, 90.00 degrees
With the nearest neighbours (Å) after each atom.
Space group C2/m (No. 12)
Unique sites:
Pm1 0.0000 0.0000 0.0000  6 Rh 3.14-3.43, 4 Sn 3.48
Pm2 0.1801 0.5000 0.6845  10 Sn 3.21-3.59, 4 Rh 3.27-3.45
Sn1 0.0000 0.0000 0.5000  2 Rh 2.93, 6 Sn 3.24-3.25
Sn2 0.0056 0.5000 0.7385  3 Rh 2.61-2.81, 1 Sn 2.91
Sn3 0.1662 0.0000 0.4309  3 Rh 2.64-2.73
Sn4 0.1886 0.5000 0.0539  4 Rh 2.64-2.78, 1 Sn 2.91
Rh1 0.1249 0.0000 0.8565  6 Sn 2.75-2.93
Rh2 0.1564 0.5000 0.2857  5 Sn 2.61-2.73


[8]
VASP calculation (PBE) on an optimized crystal structure of PmSnRh.

Calculated volume: 22.05 Å³ per atom
Formation enthalpy at 0 K: -0.60 eV/atom
Energy above the most stable polymorph in this dataset: 261 meV per atom
Total magnetic moment: 0.00 μB per formula unit
Density: 9.20 g cm⁻³

Cell lengths 3.3884, 3.3884, 11.5236 Å; angles 90.00, 90.00, 90.00 degrees
With the nearest neighbours (Å) after each atom.
Space group I4mm (No. 107)
Unique sites:
Pm1 0.0000 0.0000 0.0000  4 Rh 3.08, 5 Sn 3.38, 4 Pm 3.39
Sn1 0.0000 0.0000 0.2929  4 Rh 2.80
Rh1 0.0000 0.0000 0.6677  4 Sn 2.80, 4 Pm 3.08